(1)
Computed, not measured: a crystal of NiHgAsSe2 relaxed with PBEsol at the meta-GGA SCAN level of DFT.

abc: 4.863 4.863 4.347
angles: 90.00 90.00 90.00
Atoms (fractional coordinates):
Ni: 0.000 0.000 0.000
Hg: 0.500 0.500 0.500
As: 0.000 0.000 0.500
Se: 0.000 0.500 0.000
Se: 0.500 0.000 0.000

Properties
The density of states at the Fermi level comes out at 3.8 states/eV/cell. Its space-group type is No. 123. The calculation puts the spin magnetization at 0.0 μB/f.u. Its formation energy without anion corrections is 8.74 kcal/mol of atoms.

(2)
Computed, not measured: a crystal of RbS3N relaxed with PBEsol at the meta-GGA SCAN level of DFT.

abc: 6.442 6.442 6.442
angles: 90.00 90.00 90.00
Atoms (fractional coordinates):
Rb: 0.000 0.000 0.000
S: 0.000 0.000 0.500
S: 0.000 0.500 0.000
S: 0.500 0.000 0.000
N: 0.500 0.500 0.500

Properties
The density of states at the Fermi level comes out at 4.5 states/eV/cell. Its space-group type is No. 221. The calculation puts the spin magnetization at 8.0 μB/f.u. Its formation energy without anion corrections is 43.63 kcal/mol of atoms.

(3)
Computed, not measured: a crystal of BaCrCo2 relaxed with PBEsol at the meta-GGA SCAN level of DFT.

abc: 3.920 3.920 8.833
angles: 90.00 90.00 90.00
Atoms (fractional coordinates):
Ba: 0.000 0.000 0.000
Ba: 0.500 0.500 0.500
Cr: 0.000 0.500 0.750
Cr: 0.500 0.000 0.250
Co: 0.000 0.000 0.500
Co: 0.000 0.500 0.250
Co: 0.500 0.000 0.750
Co: 0.500 0.500 0.000

Properties
The density of states at the Fermi level comes out at 6.0 states/eV/cell. The calculation puts the formation energy at 1.114 eV per atom. Its space-group type is No. 119. The value obtained for the distance to the lowest polymorph of the same formula is 0 meV per atom. The calculation puts the spin magnetization at 7.5 μB/f.u.

(4)
Computed, not measured: a crystal of YBeCu2H relaxed with PBEsol at the meta-GGA SCAN level of DFT.

abc: 4.232 4.232 3.746
angles: 90.00 90.00 90.00
Atoms (fractional coordinates):
Y: 0.000 0.000 0.000
Be: 0.500 0.500 0.500
Cu: 0.000 0.500 0.500
Cu: 0.500 0.000 0.500
H: 0.500 0.500 0.000

Properties
The density of states at the Fermi level comes out at 2.1 states/eV/cell. The value obtained for the electronic total energy is -13.043 eV/atom. Its space-group type is No. 123. The calculation puts the spin magnetization at 0.0 μB/f.u.

(5)
Computed, not measured: a crystal of YAgPb2 relaxed with PBEsol at the meta-GGA SCAN level of DFT.

abc: 4.413 4.413 10.013
angles: 90.00 90.00 90.00
Atoms (fractional coordinates):
Y: 0.000 0.000 0.000
Y: 0.500 0.500 0.500
Ag: 0.000 0.500 0.250
Ag: 0.500 0.000 0.750
Pb: 0.000 0.000 0.500
Pb: 0.000 0.500 0.750
Pb: 0.500 0.000 0.250
Pb: 0.500 0.500 0.000

Properties
The density of states at the Fermi level comes out at 3.9 states/eV/cell. The calculation puts the formation energy at -0.356 eV per atom. Its space-group type is No. 119. The calculation puts the spin magnetization at 0.0 μB/f.u.

(6)
Computed, not measured: a crystal of SmGdS3 relaxed with PBEsol at the meta-GGA SCAN level of DFT.

abc: 7.274 3.923 15.133
angles: 90.00 90.00 90.00
Atoms (fractional coordinates):
Sm: 0.142 0.250 0.204
Sm: 0.358 0.750 0.704
Sm: 0.642 0.250 0.296
Sm: 0.858 0.750 0.796
Gd: 0.233 0.750 0.457
Gd: 0.267 0.250 0.957
Gd: 0.733 0.750 0.043
Gd: 0.767 0.250 0.543
S: 0.008 0.250 0.392
S: 0.125 0.750 0.066
S: 0.147 0.250 0.782
S: 0.353 0.750 0.282
S: 0.375 0.250 0.566
S: 0.492 0.750 0.892
S: 0.508 0.250 0.108
S: 0.625 0.750 0.434
S: 0.647 0.250 0.718
S: 0.853 0.750 0.218
S: 0.875 0.250 0.934
S: 0.992 0.750 0.608

Properties
Its space-group type is No. 62. The calculation puts the spin magnetization at 7.0 μB/f.u. Its formation energy without anion corrections is -54.05 kcal/mol of atoms.

(7)
Computed, not measured: a crystal of Ta2InAsOs relaxed with PBEsol at the meta-GGA SCAN level of DFT.

abc: 4.632 4.632 4.786
angles: 90.00 90.00 90.00
Atoms (fractional coordinates):
Ta: 0.000 0.500 0.000
Ta: 0.500 0.000 0.000
In: 0.000 0.000 0.500
As: 0.000 0.000 0.000
Os: 0.500 0.500 0.500

Properties
The density of states at the Fermi level comes out at 4.6 states/eV/cell. The calculation puts the formation energy at 1.579 eV per atom. Its space-group type is No. 123. The calculation puts the spin magnetization at 0.0 μB/f.u.

(8)
Computed, not measured: a crystal of Li2YTl2 relaxed with PBEsol at the meta-GGA SCAN level of DFT.

abc: 4.048 4.048 13.732
angles: 90.00 90.00 90.00
Atoms (fractional coordinates):
Li: 0.000 0.500 0.250
Li: 0.000 0.500 0.750
Li: 0.500 0.000 0.250
Li: 0.500 0.000 0.750
Y: 0.000 0.000 0.000
Y: 0.500 0.500 0.500
Tl: 0.000 0.000 0.389
Tl: 0.000 0.000 0.611
Tl: 0.500 0.500 0.111
Tl: 0.500 0.500 0.889

Properties
The density of states at the Fermi level comes out at 3.3 states/eV/cell. The calculation puts the formation energy at -0.430 eV per atom. Its space-group type is No. 139. The value obtained for the distance to the lowest polymorph of the same formula is 0 meV per atom. The calculation puts the spin magnetization at 0.0 μB/f.u.

(9)
Computed, not measured: a crystal of IrOs2Pb relaxed with PBEsol at the meta-GGA SCAN level of DFT.

abc: 2.785 4.671 10.244
angles: 90.00 90.00 90.00
Atoms (fractional coordinates):
Ir: 0.000 0.000 0.000
Ir: 0.500 0.500 0.500
Os: 0.000 0.500 0.277
Os: 0.000 0.500 0.723
Os: 0.500 0.000 0.223
Os: 0.500 0.000 0.777
Pb: 0.000 0.000 0.500
Pb: 0.500 0.500 0.000

Properties
The density of states at the Fermi level comes out at 8.0 states/eV/cell. The calculation puts the formation energy at 0.944 eV per atom. Its space-group type is No. 71. The calculation puts the spin magnetization at 0.0 μB/f.u.

(10)
Computed, not measured: a crystal of ZnCd4 relaxed with PBEsol at the meta-GGA SCAN level of DFT.

abc: 3.960 3.960 14.177
angles: 90.00 90.00 90.00
Atoms (fractional coordinates):
Zn: 0.000 0.000 0.000
Zn: 0.500 0.500 0.500
Cd: 0.000 0.000 0.405
Cd: 0.000 0.000 0.595
Cd: 0.000 0.500 0.250
Cd: 0.000 0.500 0.750
Cd: 0.500 0.000 0.250
Cd: 0.500 0.000 0.750
Cd: 0.500 0.500 0.095
Cd: 0.500 0.500 0.905

Properties
The density of states at the Fermi level comes out at 3.8 states/eV/cell. The calculation puts the formation energy at 0.227 eV per atom. Its space-group type is No. 139. The calculation puts the spin magnetization at 0.0 μB/f.u.

(11)
Computed, not measured: a crystal of MnMo2Pt relaxed with PBEsol at the meta-GGA SCAN level of DFT.

abc: 6.145 6.145 6.145
angles: 90.00 90.00 90.00
Atoms (fractional coordinates):
Mn: 0.000 0.000 0.000
Mn: 0.000 0.500 0.500
Mn: 0.500 0.000 0.500
Mn: 0.500 0.500 0.000
Mo: 0.000 0.000 0.500
Mo: 0.000 0.500 0.000
Mo: 0.250 0.250 0.750
Mo: 0.250 0.750 0.250
Mo: 0.500 0.000 0.000
Mo: 0.500 0.500 0.500
Mo: 0.750 0.250 0.250
Mo: 0.750 0.750 0.750
Pt: 0.250 0.250 0.250
Pt: 0.250 0.750 0.750
Pt: 0.750 0.250 0.750
Pt: 0.750 0.750 0.250

Properties
The density of states at the Fermi level comes out at 14.2 states/eV/cell. The calculation puts the formation energy at -0.150 eV per atom. Its space-group type is No. 216. The value obtained for the distance to the lowest polymorph of the same formula is 89 meV per atom. The calculation puts the spin magnetization at 3.9 μB/f.u.

(12)
Computed, not measured: a crystal of Ba3MnCr relaxed with PBEsol at the meta-GGA SCAN level of DFT.

abc: 5.991 5.991 5.991
angles: 90.00 90.00 90.00
Atoms (fractional coordinates):
Ba: 0.000 0.000 0.500
Ba: 0.000 0.500 0.000
Ba: 0.500 0.000 0.000
Mn: 0.500 0.500 0.500
Cr: 0.000 0.000 0.000

Properties
The density of states at the Fermi level comes out at 4.4 states/eV/cell. The calculation puts the formation energy at 0.700 eV per atom. Its space-group type is No. 221. The calculation puts the spin magnetization at 8.3 μB/f.u.